5
Lattice="5.320 0.000 0.000 0.000 5.320 0.000 0.000 0.000 5.320" Properties=species:S:1:pos:R:3 comment="SrCd3W GGA-PBE relaxed" m_tot_mub_per_cell=0.00 e_form_ev_per_atom=0.630 sg="Pm-3m (221)" pbc="T T T"
Sr 0.000 0.000 0.000
Cd 0.000 2.660 2.660
Cd 2.660 0.000 2.660
Cd 2.660 2.660 0.000
W 2.660 2.660 2.660



8
Lattice="12.328 0.000 0.000 0.000 3.257 0.000 -1.834 0.000 5.642" Properties=species:S:1:pos:R:3 comment="Sr2CdW GGA-PBE relaxed" m_tot_mub_per_cell=0.00 e_form_ev_per_atom=0.747 sg="Cm (8)" pbc="T T T"
Sr 0.000 0.000 0.000
Sr 1.293 0.000 3.493
Sr 6.164 1.628 0.000
Sr 7.458 1.628 3.493
Cd 4.508 0.000 2.546
Cd 10.672 1.628 2.546
W 2.862 1.628 0.853
W 9.026 0.000 0.853



5
Lattice="5.672 0.000 0.000 0.000 5.672 0.000 0.000 0.000 6.371" Properties=species:S:1:pos:R:3 comment="SrYCd2W GGA-PBE relaxed" m_tot_mub_per_cell=4.38 e_form_ev_per_atom=1.855 sg="P4/mmm (123)" pbc="T T T"
Sr 0.000 0.000 0.000
Y 0.000 0.000 3.185
Cd 0.000 2.836 3.185
Cd 2.836 0.000 3.185
W 2.836 2.836 0.000



5
Lattice="5.799 0.000 0.000 0.000 5.799 0.000 0.000 0.000 5.799" Properties=species:S:1:pos:R:3 comment="SrY3Cd GGA-PBE relaxed" m_tot_mub_per_cell=1.00 e_form_ev_per_atom=0.263 sg="Pm-3m (221)" pbc="T T T"
Sr 0.000 0.000 0.000
Y 0.000 2.899 2.899
Y 2.899 0.000 2.899
Y 2.899 2.899 0.000
Cd 2.899 2.899 2.899